The following is a GGA-PBE calculation of crystalline AlCuNi2 at its relaxed geometry, from Alexandria.

a = 4.0146 Å, b = 4.0146 Å, c = 7.2160 Å
α = 90.00°, β = 90.00°, γ = 120.00°
Last column: nearest neighbours and their distance in Å.
Element x y z (fractional)
Al (0.3333, 0.6667, 0.2500)  8 Ni 2.41-2.61
Al (0.6667, 0.3333, 0.7500)  8 Ni 2.41-2.61
Cu (0.0000, 0.0000, 0.0000)  6 Ni 2.40
Cu (0.0000, 0.0000, 0.5000)  6 Ni 2.40
Ni (0.3333, 0.6667, 0.5840)  3 Cu 2.40, 4 Ni 2.40-2.62, 4 Al 2.41-2.61
Ni (0.3333, 0.6667, 0.9160)  3 Cu 2.40, 4 Ni 2.40-2.62, 4 Al 2.41-2.61
Ni (0.6667, 0.3333, 0.0840)  3 Cu 2.40, 4 Ni 2.40-2.62, 4 Al 2.41-2.61
Ni (0.6667, 0.3333, 0.4160)  3 Cu 2.40, 4 Ni 2.40-2.62, 4 Al 2.41-2.61

Results
calculated formation energy = -200 meV/atom
space group = P6_3/mmc
calculated density = 6.86 g/cm³
calculated total energy = -5.0508 eV per atom

=====

The following is a GGA-PBE calculation of crystalline AlCu2Ni8 at its relaxed geometry, from Alexandria.

a = 3.5161 Å, b = 3.5161 Å, c = 10.5133 Å
α = 90.00°, β = 90.00°, γ = 90.00°
Last column: nearest neighbours and their distance in Å.
Element x y z (fractional)
Al (0.0000, 0.0000, 0.0000)  8 Ni 2.43
Cu (0.0000, 0.0000, 0.3296)  12 Ni 2.49-2.51
Cu (0.0000, 0.0000, 0.6704)  12 Ni 2.49-2.51
Ni (0.0000, 0.5000, 0.1601)  2 Al 2.43, 6 Ni 2.49-2.50, 2 Cu 2.50
Ni (0.0000, 0.5000, 0.5000)  8 Ni 2.49-2.51, 4 Cu 2.51
Ni (0.0000, 0.5000, 0.8399)  2 Al 2.43, 6 Ni 2.49-2.50, 2 Cu 2.50
Ni (0.5000, 0.0000, 0.1601)  2 Al 2.43, 6 Ni 2.49-2.50, 2 Cu 2.50
Ni (0.5000, 0.0000, 0.5000)  8 Ni 2.49-2.51, 4 Cu 2.51
Ni (0.5000, 0.0000, 0.8399)  2 Al 2.43, 6 Ni 2.49-2.50, 2 Cu 2.50
Ni (0.5000, 0.5000, 0.3298)  4 Cu 2.49, 8 Ni 2.50-2.51
Ni (0.5000, 0.5000, 0.6702)  4 Cu 2.49, 8 Ni 2.50-2.51

Results
calculated formation energy = 10 meV/atom
space group = P4/mmm
calculated density = 7.97 g/cm³
calculated total energy = -5.2797 eV per atom

=====

The following is a GGA-PBE calculation of crystalline AlCu8Ni2 at its relaxed geometry, from Alexandria.

a = 6.3463 Å, b = 6.3463 Å, c = 4.2746 Å
α = 101.10°, β = 101.10°, γ = 61.17°
Last column: nearest neighbours and their distance in Å.
Element x y z (fractional)
Al (0.0000, 0.0000, 0.0000)  4 Ni 2.36-2.60, 6 Cu 2.41-2.45
Cu (0.2296, 0.2296, 0.0971)  2 Ni 2.44-2.45, 1 Al 2.45, 4 Cu 2.46-2.52
Cu (0.2444, 0.6175, 0.2157)  1 Ni 2.40, 7 Cu 2.41-2.63, 1 Al 2.41
Cu (0.3539, 0.3539, 0.6699)  8 Cu 2.51-2.59, 1 Ni 2.51
Cu (0.3825, 0.7556, 0.7843)  1 Ni 2.40, 7 Cu 2.41-2.63, 1 Al 2.41
Cu (0.6175, 0.2444, 0.2157)  1 Ni 2.40, 7 Cu 2.41-2.63, 1 Al 2.41
Cu (0.6461, 0.6461, 0.3301)  8 Cu 2.51-2.59, 1 Ni 2.51
Cu (0.7556, 0.3825, 0.7843)  1 Ni 2.40, 7 Cu 2.41-2.63, 1 Al 2.41
Cu (0.7704, 0.7704, 0.9029)  2 Ni 2.44-2.45, 1 Al 2.45, 4 Cu 2.46-2.52
Ni (0.1178, 0.1178, 0.5345)  2 Al 2.36-2.60, 5 Cu 2.40-2.51, 1 Ni 2.52
Ni (0.8822, 0.8822, 0.4655)  2 Al 2.36-2.60, 5 Cu 2.40-2.51, 1 Ni 2.52

Results
calculated formation energy = 178 meV/atom
space group = C2/m
calculated density = 7.37 g/cm³
calculated total energy = -4.1923 eV per atom

=====

The following is a GGA-PBE calculation of crystalline Al2CuNi at its relaxed geometry, from Alexandria.

a = 5.2577 Å, b = 3.8651 Å, c = 5.4488 Å
α = 90.00°, β = 90.00°, γ = 90.00°
Last column: nearest neighbours and their distance in Å.
Element x y z (fractional)
Al (0.0000, 0.0000, 0.0000)  4 Ni 2.50, 4 Al 2.63-2.71
Al (0.2500, 0.0000, 0.4343)  2 Ni 2.43, 2 Cu 2.45, 2 Al 2.71
Al (0.5000, 0.0000, 0.0000)  4 Ni 2.50, 4 Al 2.63-2.71
Al (0.7500, 0.0000, 0.5657)  2 Ni 2.43, 2 Cu 2.45, 2 Al 2.71
Cu (0.2500, 0.5000, 0.7106)  2 Al 2.45, 3 Ni 2.47-2.72
Cu (0.7500, 0.5000, 0.2894)  2 Al 2.45, 3 Ni 2.47-2.72
Ni (0.2500, 0.5000, 0.1645)  6 Al 2.43-2.50, 3 Cu 2.47-2.72
Ni (0.7500, 0.5000, 0.8355)  6 Al 2.43-2.50, 3 Cu 2.47-2.72

Results
calculated formation energy = -157 meV/atom
space group = Pmma
calculated density = 5.28 g/cm³
calculated total energy = -4.4979 eV per atom

=====

The following is a GGA-PBE calculation of crystalline Al2Cu3Ni at its relaxed geometry, from Alexandria.

a = 3.8758 Å, b = 11.3617 Å, c = 3.4043 Å
α = 90.00°, β = 90.00°, γ = 90.00°
Last column: nearest neighbours and their distance in Å.
Element x y z (fractional)
Al (0.0000, 0.1558, 0.0000)  2 Ni 2.46, 8 Cu 2.58-2.63
Al (0.0000, 0.8442, 0.0000)  2 Ni 2.46, 8 Cu 2.58-2.63
Al (0.5000, 0.3442, 0.0000)  2 Ni 2.46, 8 Cu 2.58-2.63
Al (0.5000, 0.6558, 0.0000)  2 Ni 2.46, 8 Cu 2.58-2.63
Cu (0.0000, 0.3318, 0.5000)  4 Cu 2.56-2.69, 6 Al 2.58-2.63, 2 Ni 2.72
Cu (0.0000, 0.5000, 0.0000)  4 Cu 2.56, 4 Ni 2.58, 4 Al 2.62
Cu (0.0000, 0.6682, 0.5000)  4 Cu 2.56-2.69, 6 Al 2.58-2.63, 2 Ni 2.72
Cu (0.5000, 0.0000, 0.0000)  4 Cu 2.56, 4 Ni 2.58, 4 Al 2.62
Cu (0.5000, 0.1682, 0.5000)  4 Cu 2.56-2.69, 6 Al 2.58-2.63, 2 Ni 2.72
Cu (0.5000, 0.8318, 0.5000)  4 Cu 2.56-2.69, 6 Al 2.58-2.63, 2 Ni 2.72
Ni (0.0000, 0.0000, 0.5000)  4 Al 2.46, 8 Cu 2.58-2.72
Ni (0.5000, 0.5000, 0.5000)  4 Al 2.46, 8 Cu 2.58-2.72

Results
calculated formation energy = -269 meV/atom
space group = Cmmm
calculated density = 6.72 g/cm³
calculated total energy = -4.5285 eV per atom

=====

The following is a GGA-PBE calculation of crystalline Al5CuNi2 at its relaxed geometry, from Alexandria.

a = 3.8653 Å, b = 3.8653 Å, c = 14.6164 Å
α = 90.00°, β = 90.00°, γ = 90.00°
Last column: nearest neighbours and their distance in Å.
Element x y z (fractional)
Al (0.0000, 0.0000, 0.0000)  4 Cu 2.73, 8 Al 2.81
Al (0.0000, 0.5000, 0.1396)  4 Ni 2.52, 6 Al 2.73-2.81, 2 Cu 2.81
Al (0.0000, 0.5000, 0.3604)  4 Ni 2.52, 6 Al 2.73-2.81, 2 Cu 2.81
Al (0.0000, 0.5000, 0.6396)  4 Ni 2.52, 6 Al 2.73-2.81, 2 Cu 2.81
Al (0.0000, 0.5000, 0.8604)  4 Ni 2.52, 6 Al 2.73-2.81, 2 Cu 2.81
Al (0.5000, 0.0000, 0.1396)  4 Ni 2.52, 6 Al 2.73-2.81, 2 Cu 2.81
Al (0.5000, 0.0000, 0.3604)  4 Ni 2.52, 6 Al 2.73-2.81, 2 Cu 2.81
Al (0.5000, 0.0000, 0.6396)  4 Ni 2.52, 6 Al 2.73-2.81, 2 Cu 2.81
Al (0.5000, 0.0000, 0.8604)  4 Ni 2.52, 6 Al 2.73-2.81, 2 Cu 2.81
Al (0.5000, 0.5000, 0.5000)  4 Cu 2.73, 8 Al 2.81
Cu (0.0000, 0.0000, 0.5000)  12 Al 2.73-2.81
Cu (0.5000, 0.5000, 0.0000)  12 Al 2.73-2.81
Ni (0.0000, 0.0000, 0.2499)  8 Al 2.52, 4 Ni 2.73
Ni (0.0000, 0.0000, 0.7501)  8 Al 2.52, 4 Ni 2.73
Ni (0.5000, 0.5000, 0.2501)  8 Al 2.52, 4 Ni 2.73
Ni (0.5000, 0.5000, 0.7499)  8 Al 2.52, 4 Ni 2.73

Results
calculated formation energy = -302 meV/atom
space group = I4/mmm
calculated density = 4.80 g/cm³
calculated total energy = -4.5983 eV per atom